# 1
Mg4ZnAs: optimized geometry, PBE-GGA.

Calculated values
final energy	-1.87	eV/atom
energy relative to the elements	0.18	eV per atom
mass density	3.012	g cm⁻³
SG	F-43m

Lattice parameters (Å, degrees): 5.7004 5.7004 5.7004 60.00 60.00 60.00
Closest atoms and distances in Å follow each position.
Atoms (fractional coordinates):
1 Zn 0.7500 0.7500 0.7500  12 Mg 3.34, 4 As 3.49
2 Mg 0.8763 0.3746 0.3746  6 Mg 2.84-2.86
3 Mg 0.3746 0.3746 0.8763  6 Mg 2.84-2.86
4 Mg 0.3746 0.3746 0.3746  6 Mg 2.84-2.86
5 Mg 0.3746 0.8763 0.3746  6 Mg 2.84-2.86
6 As 0.0000 0.0000 0.0000  12 Mg 3.34, 4 Zn 3.49

***

# 2
Mg2ZnAs: optimized geometry, PBE-GGA.

Calculated values
energy relative to the lowest polymorph listed for this composition	0.324	eV/atom
final energy	-2.23	eV/atom
energy relative to the elements	0.04	eV per atom
mass density	3.924	g cm⁻³
SG	F-43m

Lattice parameters (Å, degrees): 4.8357 4.8357 4.8357 60.00 60.00 60.00
Closest atoms and distances in Å follow each position.
Atoms (fractional coordinates):
1 Zn 0.7500 0.7500 0.7500  4 As 2.96, 4 Mg 2.96
2 As 0.5000 0.5000 0.5000  4 Mg 2.96, 4 Zn 2.96
3 Mg 0.2500 0.2500 0.2500  4 Mg 2.96, 4 As 2.96
4 Mg 0.0000 0.0000 0.0000  4 Zn 2.96, 4 Mg 2.96

***

# 3
MgZn2As: optimized geometry, PBE-GGA.

Calculated values
final energy	-2.31	eV/atom
energy relative to the elements	-0.11	eV per atom
mass density	5.018	g cm⁻³
SG	Cm

Lattice parameters (Å, degrees): 4.9034 4.9034 4.2060 90.00 90.00 48.84
Closest atoms and distances in Å follow each position.
Atoms (fractional coordinates):
1 Mg 0.2519 0.2519 0.3758  3 As 2.62-2.74
2 Zn 0.7122 0.7122 0.8758  1 Zn 2.48, 2 As 2.57-2.58
3 As 0.5456 0.5456 0.3753  2 Zn 2.57-2.58, 3 Mg 2.62-2.74
4 Zn 0.9903 0.9903 0.8731  1 Zn 2.48

***

# 4
MgZnAs3: optimized geometry, PBE-GGA.

Calculated values
energy relative to the lowest polymorph listed for this composition	0.000	eV/atom
final energy	-2.85	eV/atom
energy relative to the elements	0.52	eV per atom
mass density	4.523	g cm⁻³
SG	Pm-3m

Lattice parameters (Å, degrees): 4.8694 4.8694 4.8694 90.00 90.00 90.00
Closest atoms and distances in Å follow each position.
Atoms (fractional coordinates):
1 As 0.0000 0.0000 0.5000  2 Zn 2.43
2 Zn 0.0000 0.0000 0.0000  6 As 2.43
3 As 0.5000 0.0000 0.0000  2 Zn 2.43
4 Mg 0.5000 0.5000 0.5000  12 As 3.44
5 As 0.0000 0.5000 0.0000  2 Zn 2.43

***

# 5
MgZnAs3: optimized geometry, PBE-GGA.

Calculated values
energy relative to the lowest polymorph listed for this composition	0.227	eV/atom
final energy	-2.62	eV/atom
energy relative to the elements	0.74	eV per atom
mass density	4.255	g cm⁻³
SG	Pm-3m

Lattice parameters (Å, degrees): 4.9695 4.9695 4.9695 90.00 90.00 90.00
Closest atoms and distances in Å follow each position.
Atoms (fractional coordinates):
1 Zn 0.5000 0.5000 0.5000  12 As 3.51
2 As 0.0000 0.5000 0.0000  2 Mg 2.48
3 As 0.5000 0.0000 0.0000  2 Mg 2.48
4 As 0.0000 0.0000 0.5000  2 Mg 2.48
5 Mg 0.0000 0.0000 0.0000  6 As 2.48

***

# 6
Mg2ZnAs2: optimized geometry, PBE-GGA.

Calculated values
energy relative to the lowest polymorph listed for this composition	0.000	eV/atom
final energy	-3.23	eV/atom
energy relative to the elements	-0.48	eV per atom
mass density	4.263	g cm⁻³
SG	P3m1

Lattice parameters (Å, degrees): 4.1840 4.1840 6.7789 90.00 90.00 120.00
Closest atoms and distances in Å follow each position.
Atoms (fractional coordinates):
1 Zn 0.3333 0.6667 0.6320  4 As 2.58-2.74
2 As 0.3333 0.6667 0.2282  6 Mg 2.60-2.85, 1 Zn 2.74
3 Mg 0.0000 0.0000 0.0064  6 As 2.85-2.92
4 Mg 0.6667 0.3333 0.3696  4 As 2.60-2.67
5 As 0.6667 0.3333 0.7638  3 Zn 2.58, 1 Mg 2.67

***

# 7
Mg2ZnAs2: optimized geometry, PBE-GGA.

Calculated values
energy relative to the lowest polymorph listed for this composition	0.284	eV/atom
final energy	-2.94	eV/atom
energy relative to the elements	-0.19	eV per atom
mass density	4.443	g cm⁻³
SG	P4/mbm

Lattice parameters (Å, degrees): 7.9720 7.9720 3.1036 90.00 90.00 90.00
Closest atoms and distances in Å follow each position.
Atoms (fractional coordinates):
1 As 0.1589 0.3411 0.0000  6 Mg 2.73-2.86, 2 Zn 3.00
2 Zn 0.5000 0.5000 0.0000  4 As 3.00, 2 Zn 3.10
3 Mg 0.1416 0.6416 0.5000  6 As 2.73-2.86
4 Zn 0.0000 0.0000 0.0000  4 As 3.00, 2 Zn 3.10
5 Mg 0.3584 0.1416 0.5000  6 As 2.73-2.86
6 As 0.3411 0.8411 0.0000  6 Mg 2.73-2.86, 2 Zn 3.00
7 As 0.8411 0.6589 0.0000  6 Mg 2.73-2.86, 2 Zn 3.00
8 Mg 0.8584 0.3584 0.5000  6 As 2.73-2.86
9 As 0.6589 0.1589 0.0000  6 Mg 2.73-2.86, 2 Zn 3.00
10 Mg 0.6416 0.8584 0.5000  6 As 2.73-2.86

***

# 8
Mg2ZnAs2: optimized geometry, PBE-GGA.

Calculated values
energy relative to the lowest polymorph listed for this composition	0.253	eV/atom
final energy	-2.98	eV/atom
energy relative to the elements	-0.22	eV per atom
mass density	3.869	g cm⁻³
SG	I4/mmm

Lattice parameters (Å, degrees): 4.8215 4.8215 5.9459 66.08 66.08 90.00
Closest atoms and distances in Å follow each position.
Atoms (fractional coordinates):
1 Mg 0.2500 0.7500 0.5000  4 As 2.70
2 Mg 0.7500 0.2500 0.5000  4 As 2.70
3 As 0.3745 0.3745 0.2509  1 As 2.44, 4 Mg 2.70
4 As 0.6255 0.6255 0.7491  1 As 2.44, 4 Mg 2.70
5 Zn 0.0000 0.0000 0.0000  8 Mg 3.43, 10 As 3.62-3.65

***

Which of these has the lowest energy relative to the elements? number 6

***

energy relative to the elements of number 6 (Mg2ZnAs2)? -0.48 eV per atom

***

The lowest energy relative to the elements belongs to which entry? number 6

***

Among the records above, which one has the lowest energy relative to the elements? number 6